Density functional theory data (GGA-PBE) for Zr4AgAs after structural relaxation.

Raw total energy: -6.609 eV per atom
M_tot: 0.00 Bohr magnetons per cell
DFT formation energy: 340 meV/atom
Space group: No. 216

Geometry as POSCAR:
```
Zr4AgAs
1.0
3.465 2.026 4.060
-0.816 5.249 2.092
-1.937 0.681 5.327
Zr Ag As
4 1 1
Direct
0.375 0.375 0.375
0.375 0.375 0.874
0.874 0.375 0.375
0.375 0.874 0.375
0.750 0.750 0.750
0.000 0.000 0.000
```